Record 1
PBE-GGA Ca2TbPm, optimized geometry; Fermi-level density of states = 7.276 states/eV per cell; E above lowest polymorph = 181 meV/atom; final energy = -3.120 eV/atom
1.0
1.794 1.036 13.259
-1.794 1.036 13.259
0.000 -2.072 13.259
Ca Tb Pm
2 1 1
Direct
0.089 0.089 0.089 Ca
0.911 0.911 0.911 Ca
0.500 0.500 0.500 Tb
0.000 0.000 0.000 Pm



Record 2
PBE-GGA NdU2Tl2S6, optimized geometry; Fermi-level density of states = 11.961 states/eV per cell; final energy = -6.453 eV/atom; formation energy from raw total energies = -1.2858 eV/atom
1.0
3.512 -6.112 0.000
3.512 6.112 0.000
-2.272 0.000 7.566
Nd U Tl S
1 2 2 6
Direct
0.000 0.000 0.000 Nd
0.334 0.666 0.000 U
0.666 0.334 0.000 U
0.164 0.836 0.500 Tl
0.836 0.164 0.500 Tl
0.060 0.409 0.195 S
0.282 0.282 0.804 S
0.409 0.060 0.195 S
0.591 0.940 0.805 S
0.718 0.718 0.196 S
0.940 0.591 0.805 S



Record 3
PBE-GGA TaVMo3W, optimized geometry; Fermi-level density of states = 6.287 states/eV per cell; final energy = -11.164 eV/atom
1.0
7.055 0.000 0.000
0.000 3.170 0.000
-2.853 0.000 8.520
Ta V Mo W
2 2 6 2
Direct
0.001 0.250 0.128 Ta
0.999 0.750 0.872 Ta
0.338 0.750 0.211 V
0.662 0.250 0.789 V
0.336 0.250 0.458 Mo
0.339 0.250 0.960 Mo
0.339 0.750 0.708 Mo
0.661 0.250 0.292 Mo
0.661 0.750 0.040 Mo
0.664 0.750 0.542 Mo
0.000 0.250 0.622 W
0.000 0.750 0.378 W



Record 4
PBE-GGA CaRe2F, optimized geometry; Fermi-level density of states = 6.615 states/eV per cell; E above lowest polymorph = 766 meV/atom; final energy = -5.473 eV/atom; formation energy from raw total energies = 1.7193 eV/atom
1.0
0.000 3.220 3.220
3.220 0.000 3.220
3.220 3.220 0.000
Ca Re F
1 2 1
Direct
0.000 0.000 0.000 Ca
0.250 0.250 0.250 Re
0.750 0.750 0.750 Re
0.500 0.500 0.500 F



Record 5
PBE-GGA Tb2ErAg3, optimized geometry; Fermi-level density of states = 3.006 states/eV per cell; final energy = -4.053 eV/atom
1.0
3.619 0.000 0.000
0.000 3.619 0.000
0.000 0.000 10.999
Tb Er Ag
2 1 3
Direct
0.000 0.000 0.168 Tb
0.000 0.000 0.832 Tb
0.000 0.000 0.500 Er
0.500 0.500 0.000 Ag
0.500 0.500 0.338 Ag
0.500 0.500 0.662 Ag



Record 6
PBE-GGA BaGe12Rh4, optimized geometry; Fermi-level density of states = 15.161 states/eV per cell; final energy = -5.346 eV/atom
1.0
-4.370 4.370 4.370
4.370 -4.370 4.370
4.370 4.370 -4.370
Ba Ge Rh
1 12 4
Direct
0.000 0.000 0.000 Ba
0.158 0.354 0.512 Ge
0.158 0.646 0.803 Ge
0.197 0.842 0.354 Ge
0.354 0.197 0.842 Ge
0.354 0.512 0.158 Ge
0.488 0.842 0.646 Ge
0.512 0.158 0.354 Ge
0.646 0.488 0.842 Ge
0.646 0.803 0.158 Ge
0.803 0.158 0.646 Ge
0.842 0.354 0.197 Ge
0.842 0.646 0.488 Ge
0.000 0.000 0.500 Rh
0.000 0.500 0.000 Rh
0.500 0.000 0.000 Rh
0.500 0.500 0.500 Rh



Record 7
PBE-GGA TlAg2Sb, optimized geometry; Fermi-level density of states = 1.170 states/eV per cell; final energy = -2.905 eV/atom; formation energy from raw total energies = 0.1424 eV/atom
1.0
3.168 0.000 0.000
0.000 4.572 0.000
0.000 0.000 6.639
Tl Ag Sb
1 2 1
Direct
0.000 0.000 0.000 Tl
0.500 0.500 0.233 Ag
0.500 0.500 0.767 Ag
0.500 0.000 0.500 Sb



Record 8
PBE-GGA YbPrO2, optimized geometry; Fermi-level density of states = 1.539 states/eV per cell; E above lowest polymorph = 0 meV/atom; final energy = -6.850 eV/atom; formation energy from raw total energies = -2.7947 eV/atom
1.0
1.743 1.007 5.842
-1.743 1.007 5.842
0.000 -2.013 5.842
Yb Pr O
1 1 2
Direct
0.000 0.000 0.000 Yb
0.500 0.500 0.500 Pr
0.258 0.258 0.258 O
0.742 0.742 0.742 O



The lowest Fermi-level density of states belongs to which entry? TlAg2Sb